# 1
Entry from the Alexandria database: a relaxed structure of Sc2CdIr (PBE).

Cell lengths 4.8227, 3.2634, 4.8224 Å; angles 90.00, 90.00, 90.00 degrees
Last column: nearest neighbours and their distance in Å.
Element x y z (fractional)
Sc (0.0000, 0.1250, 0.8758)  4 Cd 2.91, 4 Ir 2.91
Sc (0.5000, 0.1249, 0.3741)  4 Ir 2.91, 4 Cd 2.91
Ir (0.5000, 0.6254, 0.8738)  8 Sc 2.91
Cd (0.0000, 0.6248, 0.3763)  8 Sc 2.91

Calculated values
- Calculated formation energy: -55.80 kJ/mol of atoms

# 2
Entry from the Alexandria database: a relaxed structure of Sc2CdIr (PBE).

Cell lengths 3.6840, 3.6840, 6.1495 Å; angles 90.00, 90.00, 90.00 degrees
Last column: nearest neighbours and their distance in Å.
Element x y z (fractional)
Cd (0.0000, 0.0000, 0.4875)  5 Sc 2.81-3.00
Ir (0.5000, 0.5000, 0.8216)  5 Sc 2.62-2.71
Sc (0.0000, 0.0000, 0.9438)  4 Ir 2.71, 1 Cd 2.81
Sc (0.5000, 0.5000, 0.2471)  1 Ir 2.62

Calculated values
- Calculated formation energy: -34.04 kJ/mol of atoms

# 3
Entry from the Alexandria database: a relaxed structure of Sc2CdIr (PBE).

Cell lengths 4.7081, 4.7081, 4.7081 Å; angles 60.00, 60.00, 60.00 degrees
Last column: nearest neighbours and their distance in Å.
Element x y z (fractional)
Cd (0.5000, 0.5000, 0.5000)  4 Sc 2.88, 4 Ir 2.88
Ir (0.7500, 0.7500, 0.7500)  4 Cd 2.88, 4 Sc 2.88
Sc (0.0000, 0.0000, 0.0000)  4 Ir 2.88, 4 Sc 2.88
Sc (0.2500, 0.2500, 0.2500)  4 Cd 2.88, 4 Sc 2.88

Calculated values
- Calculated formation energy: -38.92 kJ/mol of atoms

# 4
Entry from the Alexandria database: a relaxed structure of Sc4CdIr (PBE).

Cell lengths 9.0341, 9.0341, 9.0341 Å; angles 60.00, 60.00, 60.00 degrees
Last column: nearest neighbours and their distance in Å.
Element x y z (fractional)
Sc (0.3981, 0.3981, 0.3981)  3 Ir 2.68
Sc (0.8057, 0.3981, 0.3981)  3 Ir 2.68
Sc (0.3981, 0.8057, 0.3981)  3 Ir 2.68
Sc (0.3981, 0.3981, 0.8057)  3 Ir 2.68
Sc (0.5601, 0.5601, 0.9399)  2 Ir 2.64
Sc (0.9399, 0.9399, 0.5601)  2 Ir 2.64
Sc (0.5601, 0.9399, 0.5601)  2 Ir 2.64
Sc (0.9399, 0.5601, 0.9399)  2 Ir 2.64
Sc (0.9399, 0.5601, 0.5601)  2 Ir 2.64
Sc (0.5601, 0.9399, 0.9399)  2 Ir 2.64
Sc (0.1880, 0.1880, 0.8120)  2 Cd 3.03, 6 Sc 3.26-3.38, 2 Ir 3.26
Sc (0.8120, 0.8120, 0.1880)  2 Cd 3.03, 6 Sc 3.26-3.38, 2 Ir 3.26
Sc (0.1880, 0.8120, 0.1880)  2 Cd 3.03, 6 Sc 3.26-3.38, 2 Ir 3.26
Sc (0.8120, 0.1880, 0.8120)  2 Cd 3.03, 6 Sc 3.26-3.38, 2 Ir 3.26
Sc (0.8120, 0.1880, 0.1880)  2 Cd 3.03, 6 Sc 3.26-3.38, 2 Ir 3.26
Sc (0.1880, 0.8120, 0.8120)  2 Cd 3.03, 6 Sc 3.26-3.38, 2 Ir 3.26
Cd (0.1667, 0.1667, 0.1667)  3 Cd 3.01, 9 Sc 3.03-3.27
Cd (0.4998, 0.1667, 0.1667)  3 Cd 3.01, 9 Sc 3.03-3.27
Cd (0.1667, 0.4998, 0.1667)  3 Cd 3.01, 9 Sc 3.03-3.27
Cd (0.1667, 0.1667, 0.4998)  3 Cd 3.01, 9 Sc 3.03-3.27
Ir (0.6077, 0.6077, 0.6077)  6 Sc 2.64-2.68
Ir (0.1768, 0.6077, 0.6077)  6 Sc 2.64-2.68
Ir (0.6077, 0.1768, 0.6077)  6 Sc 2.64-2.68
Ir (0.6077, 0.6077, 0.1768)  6 Sc 2.64-2.68

Calculated values
- ΔE to the lowest computed polymorph: 0.0000 eV/atom
- Calculated formation energy: -49.22 kJ/mol of atoms

# 5
Entry from the Alexandria database: a relaxed structure of Sc3CdIr (PBE).

Cell lengths 5.0519, 5.0519, 5.0519 Å; angles 90.00, 90.00, 90.00 degrees
Last column: nearest neighbours and their distance in Å.
Element x y z (fractional)
Sc (0.0000, 0.5000, 0.0000)  2 Ir 2.53
Sc (0.0000, 0.0000, 0.5000)  2 Ir 2.53
Sc (0.5000, 0.0000, 0.0000)  2 Ir 2.53
Ir (0.0000, 0.0000, 0.0000)  6 Sc 2.53
Cd (0.5000, 0.5000, 0.5000)  12 Sc 3.57

Calculated values
- ΔE to the lowest computed polymorph: 0.0000 eV/atom
- Calculated formation energy: -26.17 kJ/mol of atoms

# 6
Entry from the Alexandria database: a relaxed structure of Sc2CdIr (PBE).

Cell lengths 5.2351, 5.2351, 5.2351 Å; angles 132.98, 132.98, 68.68 degrees
Last column: nearest neighbours and their distance in Å.
Element x y z (fractional)
Cd (0.5000, 0.5000, 0.0000)  8 Sc 2.95-3.01, 4 Ir 3.01
Ir (0.7500, 0.2500, 0.5000)  8 Sc 2.95-3.01, 4 Cd 3.01
Sc (0.0000, 0.0000, 0.0000)  4 Cd 2.95, 4 Sc 3.01, 4 Ir 3.01
Sc (0.2500, 0.7500, 0.5000)  4 Ir 2.95, 4 Cd 3.01, 4 Sc 3.01

Calculated values
- Calculated formation energy: -41.55 kJ/mol of atoms

# 7
Entry from the Alexandria database: a relaxed structure of ScCdIr3 (PBE).

Cell lengths 4.7126, 4.7126, 4.7126 Å; angles 90.00, 90.00, 90.00 degrees
Last column: nearest neighbours and their distance in Å.
Element x y z (fractional)
Sc (0.0000, 0.0000, 0.0000)  6 Ir 2.36
Ir (0.0000, 0.5000, 0.0000)  2 Sc 2.36
Ir (0.0000, 0.0000, 0.5000)  2 Sc 2.36
Ir (0.5000, 0.0000, 0.0000)  2 Sc 2.36
Cd (0.5000, 0.5000, 0.5000)  12 Ir 3.33

Calculated values
- ΔE to the lowest computed polymorph: 0.0000 eV/atom
- Calculated formation energy: 121.00 kJ/mol of atoms

# 8
Entry from the Alexandria database: a relaxed structure of Sc5CdIr4 (PBE).

Cell lengths 3.2335, 3.2335, 17.0929 Å; angles 90.00, 90.00, 90.00 degrees
Last column: nearest neighbours and their distance in Å.
Element x y z (fractional)
Sc (0.5000, 0.5000, 0.1211)  4 Ir 2.77, 4 Cd 3.08
Sc (0.5000, 0.5000, 0.3100)  8 Ir 2.80-2.83
Sc (0.5000, 0.5000, 0.5000)  8 Ir 2.81
Sc (0.5000, 0.5000, 0.6900)  8 Ir 2.80-2.83
Sc (0.5000, 0.5000, 0.8789)  4 Ir 2.77, 4 Cd 3.08
Cd (0.0000, 0.0000, 0.0000)  8 Sc 3.08, 4 Cd 3.23
Ir (0.0000, 0.0000, 0.2125)  8 Sc 2.77-2.83
Ir (0.0000, 0.0000, 0.4048)  8 Sc 2.80-2.81
Ir (0.0000, 0.0000, 0.5952)  8 Sc 2.80-2.81
Ir (0.0000, 0.0000, 0.7875)  8 Sc 2.77-2.83

Calculated values
- Calculated formation energy: -85.06 kJ/mol of atoms

| no. | VASP energy (eV/atom) | density (g cm⁻³) |
| --- | --- | --- |
| 1 | -6.188 | 8.6 |
| 2 | -5.963 | 7.8 |
| 3 | -6.013 | 8.9 |
| 4 | -6.361 | 6.2 |
| 5 | -6.025 | 5.7 |
| 6 | -6.040 | 8.7 |
| 7 | -5.512 | 11.6 |
| 8 | -7.683 | 10.3 |